[1]
Computed, not measured: YP2RuO after structural relaxation at the GGA-PBE level of DFT.

Cell: 4.848 4.848 3.728 Å, 90.00 90.00 90.00°
Last column: magnetic moment on the atom in μB.
Element x y z (fractional)
O (0.000, 0.000, 0.500)  0.07
Ru (0.000, 0.000, 0.000)  0.28
P (0.500, 0.000, 0.000)  0.00
P (0.000, 0.500, 0.000)  0.00
Y (0.500, 0.500, 0.500)  0.01

Properties
**Uncorrected formation energy**: -0.551 eV per atom
**Magnetic moment**: 0.39 μB/f.u.

---

[2]
Computed, not measured: ZnP2RuO after structural relaxation at the GGA-PBE level of DFT.

Cell: 4.730 4.730 3.487 Å, 90.00 90.00 90.00°
Last column: magnetic moment on the atom in μB.
Element x y z (fractional)
O (0.000, 0.000, 0.500)  -0.01
P (0.500, 0.000, 0.000)  -0.04
P (0.000, 0.500, 0.000)  -0.04
Zn (0.000, 0.000, 0.000)  0.01
Ru (0.500, 0.500, 0.500)  1.33

Properties
**Uncorrected formation energy**: 0.854 eV per atom
**Magnetic moment**: 1.25 μB/f.u.

---

[3]
Computed, not measured: ZnP2RuO after structural relaxation at the GGA-PBE level of DFT.

Cell: 4.773 4.773 3.675 Å, 90.00 90.00 90.00°
Last column: magnetic moment on the atom in μB.
Element x y z (fractional)
O (0.000, 0.000, 0.500)  0.11
P (0.000, 0.500, 0.000)  0.01
P (0.500, 0.000, 0.000)  0.01
Zn (0.500, 0.500, 0.500)  0.01
Ru (0.000, 0.000, 0.000)  0.35

Properties
**Uncorrected formation energy**: 0.185 eV per atom
**Magnetic moment**: 0.58 μB/f.u.

---

[4]
Computed, not measured: ZrPRuO2 after structural relaxation at the GGA-PBE level of DFT.

Cell: 3.978 3.978 5.637 Å, 90.00 90.00 90.00°
Last column: magnetic moment on the atom in μB.
Element x y z (fractional)
P (0.000, 0.000, 0.500)  0.10
Ru (0.500, 0.500, 0.500)  2.56
O (0.000, 0.500, 0.000)  0.17
O (0.500, 0.000, 0.000)  0.17
Zr (0.000, 0.000, 0.000)  0.00

Properties
**Uncorrected formation energy**: -0.741 eV per atom
**Magnetic moment**: 3.40 μB/f.u.

---

[5]
Computed, not measured: ZrPRuO2 after structural relaxation at the GGA-PBE level of DFT.

Cell: 3.840 3.840 4.897 Å, 90.00 90.00 90.00°
Element x y z (fractional)
Ru (0.000, 0.000, 0.000)
O (0.500, 0.000, 0.000)
O (0.000, 0.500, 0.000)
P (0.000, 0.000, 0.500)
Zr (0.500, 0.500, 0.500)

Properties
**Uncorrected formation energy**: -0.653 eV per atom
**Magnetic moment**: 0.05 μB/f.u.

---

[6]
Computed, not measured: P2SO3 after structural relaxation at the GGA-PBE level of DFT.

Cell: 6.852 12.214 12.079 Å, 92.02 90.00 90.00°
Element x y z (fractional)
O (0.373, 0.263, 0.963)
O (0.677, 0.793, 0.369)
O (0.059, 0.277, 0.854)
O (0.362, 0.100, 0.447)
O (0.823, 0.793, 0.869)
O (0.873, 0.737, 0.537)
O (0.638, 0.900, 0.553)
O (0.941, 0.723, 0.146)
O (0.127, 0.263, 0.463)
O (0.863, 0.222, 0.019)
O (0.138, 0.100, 0.947)
O (0.599, 0.615, 0.465)
O (0.099, 0.385, 0.035)
O (0.862, 0.900, 0.053)
O (0.363, 0.778, 0.481)
O (0.901, 0.615, 0.965)
O (0.401, 0.385, 0.535)
O (0.627, 0.737, 0.037)
O (0.637, 0.222, 0.519)
O (0.137, 0.778, 0.981)
O (0.323, 0.207, 0.631)
O (0.177, 0.207, 0.131)
O (0.441, 0.277, 0.354)
O (0.559, 0.723, 0.646)
P (0.315, 0.150, 0.032)
P (0.546, 0.171, 0.405)
P (0.046, 0.829, 0.095)
P (0.185, 0.150, 0.532)
P (0.954, 0.171, 0.905)
P (0.718, 0.647, 0.577)
P (0.685, 0.850, 0.968)
P (0.282, 0.353, 0.423)
P (0.491, 0.707, 0.383)
P (0.815, 0.850, 0.468)
P (0.991, 0.293, 0.117)
P (0.009, 0.707, 0.883)
P (0.454, 0.829, 0.595)
P (0.509, 0.293, 0.617)
P (0.218, 0.353, 0.923)
P (0.782, 0.647, 0.077)
S (0.721, 0.095, 0.309)
S (0.823, 0.530, 0.656)
S (0.177, 0.470, 0.344)
S (0.221, 0.905, 0.191)
S (0.279, 0.905, 0.691)
S (0.323, 0.470, 0.844)
S (0.779, 0.095, 0.809)
S (0.677, 0.530, 0.156)

Properties
**Uncorrected formation energy**: -1.380 eV per atom
**Magnetic moment**: 0.00 μB/f.u.